DFT (GGA-PBE) results for crystalline HfAl3Bi at its relaxed geometry.

Cell and atoms, written as CIF:
```
data_HfAl3Bi
_chemical_formula_sum 'Hf1 Al3 Bi1'
_space_group_name_H-M_alt 'P m -3 m'
_space_group_IT_number 221
_space_group_name_Hall '-P 4 2 3'
_cell_length_a 5.271
_cell_length_b 5.271
_cell_length_c 5.271
_cell_angle_alpha 90.00
_cell_angle_beta 90.00
_cell_angle_gamma 90.00
loop_
_atom_site_label
_atom_site_type_symbol
_atom_site_fract_x
_atom_site_fract_y
_atom_site_fract_z
_atom_site_occupancy
Hf1 Hf 0.000 0.000 0.000 1
Al1 Al 0.000 0.500 0.500 1
Bi1 Bi 0.500 0.500 0.500 1
```

Properties
Its final energy is -3.6287 eV/atom.